Compound: Li2FeP
Source: Alexandria
Functional: PBE
Structure: relaxed

Lattice parameters (Å, degrees): 4.7703 4.7703 2.6066 90.00 90.00 122.05
With the nearest neighbours (Å) after each atom.
Sites, in units of the cell vectors:
Li  0.0000  0.5000  0.0000  2 Li 2.31
Li  0.5000  0.0000  0.0000  2 Li 2.31
Fe  0.0000  0.0000  0.5000  2 P 2.31
P  0.5000  0.5000  0.5000  2 Fe 2.31

Computed properties:
Magnetic moment in μB per cell: 2.1
Calculated formation energy in meV/atom: -88

=====

Compound: LiFeP2
Source: Alexandria
Functional: PBE
Structure: relaxed

Lattice parameters (Å, degrees): 2.7386 2.7386 6.7559 90.00 90.00 90.00
With the nearest neighbours (Å) after each atom.
Sites, in units of the cell vectors:
Li  0.0000  0.0000  0.0000  4 Li 2.74, 8 P 2.77
Fe  0.0000  0.0000  0.5000  8 P 2.39
P  0.5000  0.5000  0.2924  4 Fe 2.39
P  0.5000  0.5000  0.7076  4 Fe 2.39

Computed properties:
Polymorph energy (0 for the lowest one) in meV per atom: 21
Magnetic moment in μB per cell: 0.9
Calculated formation energy in meV/atom: -338

=====

Compound: Li2Fe12P7
Source: Alexandria
Functional: PBE
Structure: relaxed

Lattice parameters (Å, degrees): 8.8676 8.8676 3.5505 90.00 90.00 120.00
With the nearest neighbours (Å) after each atom.
Sites, in units of the cell vectors:
Li  0.0000  0.0000  0.0000  6 P 2.76, 12 Fe 2.96-3.05
Li  0.3333  0.6667  0.5000  6 P 2.72, 9 Fe 2.93-2.99
Fe  0.0571  0.7661  0.5000  4 P 2.24-2.27, 2 Fe 2.50
Fe  0.0981  0.3820  0.0000  4 P 2.18-2.28
Fe  0.2339  0.2910  0.5000  4 P 2.24-2.27, 2 Fe 2.50
Fe  0.2839  0.9019  0.0000  4 P 2.18-2.28
Fe  0.3904  0.2178  0.0000  4 P 2.13-2.24
Fe  0.5403  0.1129  0.5000  5 P 2.26-2.47
Fe  0.5726  0.4597  0.5000  5 P 2.26-2.47
Fe  0.6180  0.7161  0.0000  4 P 2.18-2.28
Fe  0.7090  0.9429  0.5000  4 P 2.24-2.27, 2 Fe 2.50
Fe  0.7822  0.1726  0.0000  4 P 2.13-2.24
Fe  0.8274  0.6096  0.0000  4 P 2.13-2.24
Fe  0.8871  0.4274  0.5000  5 P 2.26-2.47
P  0.0817  0.6197  0.0000  5 Fe 2.18-2.27
P  0.2589  0.0486  0.5000  7 Fe 2.24-2.28
P  0.3803  0.4620  0.0000  5 Fe 2.18-2.27
P  0.5380  0.9183  0.0000  5 Fe 2.18-2.27
P  0.6667  0.3333  0.0000  3 Fe 2.13
P  0.7897  0.7411  0.5000  7 Fe 2.24-2.28
P  0.9514  0.2103  0.5000  7 Fe 2.24-2.28

Computed properties:
Magnetic moment in μB per cell: 9.5
Calculated formation energy in meV/atom: -516